Below is Cs4Pr3InO8 after structural relaxation, with properties calculated at the PBE level.

a = 7.350 Å, b = 8.129 Å, c = 7.350 Å
α = 116.86°, β = 120.00°, γ = 90.00°
Element x y z (fractional)
Cs1 0.500 0.000 0.000
Cs2 0.500 0.000 0.500
Cs3 0.000 0.000 0.000
Cs4 0.000 0.000 0.500
Pr1 0.500 0.500 0.000
Pr2 0.500 0.500 0.500
Pr3 0.000 0.500 0.500
In1 0.000 0.500 0.000
O1 0.218 0.671 0.953
O2 0.218 0.671 0.435
O3 0.277 0.330 0.554
O4 0.736 0.671 0.953
O5 0.264 0.329 0.047
O6 0.723 0.670 0.446
O7 0.782 0.329 0.565
O8 0.782 0.329 0.047

Computed properties:
* uncorrected formation energy: -34.70 eV/f.u.
* E_tot: -5.928 eV per atom
* ρ: 6.13 Mg/m³
* total moment: 0.00 μB per cell
* volume: 324 Å³/f.u.
* space group: R-3m (166)